The following is a PBE calculation of a relaxed structure of LiLuHfTc, from the Alexandria database.

a = 6.673 Å, b = 6.673 Å, c = 6.673 Å
α = 90.00°, β = 90.00°, γ = 90.00°
Space group F-43m (No. 216)
Asymmetric unit:
1 Li 0.000 0.000 0.000 [4 per cell]
2 Lu 0.250 0.250 0.750 [4 per cell]
3 Hf 0.250 0.250 0.250 [4 per cell]
4 Tc 0.000 0.000 0.500 [4 per cell]

Values from the calculation:
As for the density of states at the Fermi level: 8.99 states/eV/cell. The calculation puts the spin magnetization at 0.00 Bohr magnetons per cell. The raw total energy is -6.84 eV per atom. The value obtained for the formation energy is -0.62 eV/f.u.